Crystalline CaMg14CuO16 at its relaxed geometry. Source: Alexandria, functional PBE-GGA.

a b c (Å): 8.5868 8.5868 4.3254
angles (deg): 90.00 90.00 90.00
Closest atoms and distances in Å follow each position.
Positions (direct):
Mg1 0.5000 0.7475 0.5000  6 O 2.13-2.17
O1 0.7494 0.2506 0.5000  6 Mg 2.14-2.16
Mg2 0.5000 0.2525 0.5000  6 O 2.13-2.17
Cu1 0.5000 0.5000 0.0000  6 O 2.15-2.16
Mg3 0.2542 0.2542 0.0000  6 O 2.11-2.18
Mg4 0.7458 0.7458 0.0000  6 O 2.11-2.18
O2 0.7494 0.7494 0.5000  6 Mg 2.14-2.16
Mg5 0.0000 0.7439 0.5000  6 O 2.09-2.20
O3 0.5000 0.2501 0.0000  5 Mg 2.11-2.16, 1 Cu 2.15
O4 0.0000 0.7363 0.0000  5 Mg 2.03-2.18, 1 Ca 2.26
Ca1 0.0000 0.0000 0.0000  6 O 2.16-2.26
Mg6 0.0000 0.5000 0.0000  6 O 2.03-2.16
Mg7 0.7458 0.2542 0.0000  6 O 2.11-2.18
Mg8 0.7439 0.0000 0.5000  6 O 2.09-2.20
O5 0.0000 0.0000 0.5000  2 Ca 2.16, 4 Mg 2.20
O6 0.2506 0.2506 0.5000  6 Mg 2.14-2.16
Mg9 0.2525 0.5000 0.5000  6 O 2.13-2.17
O7 0.7499 0.5000 0.0000  5 Mg 2.11-2.16, 1 Cu 2.15
Mg10 0.5000 0.0000 0.0000  6 O 2.03-2.16
O8 0.7363 0.0000 0.0000  5 Mg 2.03-2.18, 1 Ca 2.26
O9 0.2506 0.7494 0.5000  6 Mg 2.14-2.16
O10 0.5000 0.0000 0.5000  6 Mg 2.09-2.17
O11 0.5000 0.7499 0.0000  5 Mg 2.11-2.16, 1 Cu 2.15
Mg11 0.2561 0.0000 0.5000  6 O 2.09-2.20
O12 0.2501 0.5000 0.0000  5 Mg 2.11-2.16, 1 Cu 2.15
O13 0.0000 0.5000 0.5000  6 Mg 2.09-2.17
Mg12 0.0000 0.2561 0.5000  6 O 2.09-2.20
Mg13 0.2542 0.7458 0.0000  6 O 2.11-2.18
Mg14 0.7475 0.5000 0.5000  6 O 2.13-2.17
O14 0.2637 0.0000 0.0000  5 Mg 2.03-2.18, 1 Ca 2.26
O15 0.5000 0.5000 0.5000  4 Mg 2.13, 2 Cu 2.16
O16 0.0000 0.2637 0.0000  5 Mg 2.03-2.18, 1 Ca 2.26

Results
ΔE to the lowest computed polymorph = 3 meV/atom
energy = -5.9095 eV per atom
calculated density = 3.64 g/cm³
formation energy without anion corrections = -2.542 eV/atom
DOS at the Fermi energy = 4.6 states/eV/cell